Entry 1
The following is a DFT calculation (PBE) of crystalline TaRu2Br at its relaxed geometry.

symmetry	Imm2 (44)
magnetic moment	0.00	μB/f.u.

Unit cell a=5.382 b=5.382 c=5.382 alpha=147.08 beta=130.83 gamma=60.44
Element x y z (fractional)
1 Ta 0.000 0.000 0.000
2 Ru 0.468 0.468 0.000
3 Ru 0.737 0.237 0.500
4 Br 0.239 0.739 0.500

***

Entry 2
The following is a DFT calculation (PBE) of crystalline TaRu2Br at its relaxed geometry.

symmetry	C2/m (12)
magnetic moment	0.00	μB/f.u.

Unit cell a=4.669 b=4.669 c=5.129 alpha=100.49 beta=100.49 gamma=38.77
Element x y z (fractional)
1 Ta 0.000 0.000 0.000
2 Ru 0.269 0.269 0.791
3 Ru 0.731 0.731 0.209
4 Br 0.500 0.500 0.500

***

Bottom line: entry 2, by a margin of 73 meV/atom.

***

Entry 1
The following is a DFT calculation (PBE) of crystalline TaRu2Br at its relaxed geometry.

symmetry	P4/mmm (123)
magnetic moment	0.00	μB/f.u.

Unit cell a=3.164 b=3.164 c=6.922 alpha=90.00 beta=90.00 gamma=90.00
Element x y z (fractional)
1 Ta 0.000 0.000 0.000
2 Ru 0.500 0.500 0.213
3 Ru 0.500 0.500 0.787
4 Br 0.000 0.000 0.500

***

Entry 2
The following is a DFT calculation (PBE) of crystalline TaRu2Br at its relaxed geometry.

symmetry	Fm-3m (225)
magnetic moment	0.00	μB/f.u.

Unit cell a=4.541 b=4.541 c=4.541 alpha=60.00 beta=60.00 gamma=60.00
Element x y z (fractional)
1 Ta 0.000 0.000 0.000
2 Ru 0.250 0.250 0.250
3 Ru 0.750 0.750 0.750
4 Br 0.500 0.500 0.500

***

Entry 3
The following is a DFT calculation (PBE) of crystalline TaRu2Br at its relaxed geometry.

symmetry	P4mm (99)
magnetic moment	0.00	μB/f.u.

Unit cell a=2.966 b=2.966 c=7.491 alpha=90.00 beta=90.00 gamma=90.00
Element x y z (fractional)
1 Ta 0.000 0.000 0.000
2 Ru 0.000 0.000 0.532
3 Ru 0.500 0.500 0.754
4 Br 0.500 0.500 0.244

***

Bottom line: entry 1, by a margin of 260 meV/atom.

***

Entry 1
The following is a DFT calculation (PBE) of crystalline TaRu2Br at its relaxed geometry.

symmetry	P4/mmm (123)
magnetic moment	0.00	μB/f.u.

Unit cell a=4.613 b=4.613 c=3.064 alpha=90.00 beta=90.00 gamma=90.00
Element x y z (fractional)
1 Ta 0.000 0.000 0.000
2 Ru 0.000 0.500 0.500
3 Ru 0.500 0.000 0.500
4 Br 0.500 0.500 0.000

***

Entry 2
The following is a DFT calculation (PBE) of crystalline TaRu2Br at its relaxed geometry.

symmetry	I-42d (122)
magnetic moment	0.00	μB/f.u.

Unit cell a=6.957 b=6.957 c=6.957 alpha=132.11 beta=132.11 gamma=70.05
Element x y z (fractional)
1 Ta 0.000 0.000 0.000
2 Ta 0.750 0.250 0.500
3 Ru 0.127 0.625 0.002
4 Ru 0.375 0.377 0.502
5 Ru 0.623 0.125 0.998
6 Ru 0.875 0.873 0.498
7 Br 0.250 0.750 0.500
8 Br 0.500 0.500 0.000

***

Bottom line: entry 1, by a margin of 233 meV/atom.

***

Entry 1
The following is a DFT calculation (PBE) of crystalline TaRuBr at its relaxed geometry.

symmetry	P3m1 (156)
magnetic moment	0.00	μB/f.u.

Unit cell a=3.439 b=3.439 c=6.152 alpha=90.00 beta=90.00 gamma=120.00
Element x y z (fractional)
1 Ta 0.000 0.000 0.000
2 Ru 0.333 0.667 0.766
3 Br 0.667 0.333 0.346

***

Entry 2
The following is a DFT calculation (PBE) of crystalline TaRuBr at its relaxed geometry.

symmetry	F-43m (216)
magnetic moment	0.00	μB/f.u.

Unit cell a=4.382 b=4.382 c=4.382 alpha=60.00 beta=60.00 gamma=60.00
Element x y z (fractional)
1 Ta 0.000 0.000 0.000
2 Ru 0.750 0.750 0.750
3 Br 0.250 0.250 0.250

***

Entry 3
The following is a DFT calculation (PBE) of crystalline TaRuBr at its relaxed geometry.

symmetry	P3m1 (156)
magnetic moment	0.00	μB/f.u.

Unit cell a=4.410 b=4.410 c=3.022 alpha=90.00 beta=90.00 gamma=120.00
Element x y z (fractional)
1 Ta 0.000 0.000 0.000
2 Ru 0.667 0.333 0.479
3 Br 0.333 0.667 0.130

***

Entry 4
The following is a DFT calculation (PBE) of crystalline TaRuBr at its relaxed geometry.

symmetry	I4mm (107)
magnetic moment	0.00	μB/f.u.

Unit cell a=6.515 b=6.515 c=6.515 alpha=152.24 beta=152.24 gamma=39.66
Element x y z (fractional)
1 Ta 0.000 0.000 0.000
2 Ru 0.612 0.612 0.000
3 Br 0.336 0.336 0.000

***

Bottom line: entry 1, by a margin of 164 meV/atom.